DFT (PBEsol) results for an optimized crystal structure of NiC2.

extended XYZ file:
```
3
Lattice="-0.222 1.525 1.876 -0.177 -1.889 1.514 3.925 0.185 -1.256" Properties=species:S:1:pos:R:3 pbc="T T T"
C 1.590 -0.181 1.906
C 1.936 0.002 0.228
Ni 0.000 0.000 0.000
```

Results
M_tot ... 0.00 μB/f.u.
V ... 22 Å³ per cell
Energy ... -0.2455 hartree per atom
SG ... I4/mmm, No. 139